(1)
This record from OQMD describes a relaxed ZnCuSiPt crystal. The functional is PBE.

Lattice parameters (Å, degrees): 6.101 6.101 6.101 90.00 90.00 90.00
Space group F-43m (No. 216)
Symmetry-distinct sites (fractional):
1 Zn 0.000 0.000 0.000 [4 per cell]
2 Cu 0.000 0.000 0.500 [4 per cell]
3 Si 0.250 0.250 0.250 [4 per cell]
4 Pt 0.250 0.250 0.750 [4 per cell]

Output
Energy above the lowest structure with this stoichiometry (meV/atom): 216
Energy (eV/cell): -66.17

(2)
This record from OQMD describes a relaxed ZrCuSiPt crystal. The functional is PBE.

Lattice parameters (Å, degrees): 6.342 6.342 6.342 90.00 90.00 90.00
Space group F-43m (No. 216)
Symmetry-distinct sites (fractional):
1 Zr 0.000 0.000 0.000 [4 per cell]
2 Cu 0.000 0.000 0.500 [4 per cell]
3 Si 0.250 0.250 0.250 [4 per cell]
4 Pt 0.250 0.250 0.750 [4 per cell]

Output
Energy above the lowest structure with this stoichiometry (meV/atom): 21
Energy (eV/cell): -102.39

(3)
This record from OQMD describes a relaxed ZrCuSiPt crystal. The functional is PBE.

Lattice parameters (Å, degrees): 6.336 6.336 6.336 90.00 90.00 90.00
Space group F-43m (No. 216)
Symmetry-distinct sites (fractional):
1 Zr 0.000 0.000 0.000 [4 per cell]
2 Cu 0.250 0.250 0.750 [4 per cell]
3 Si 0.000 0.000 0.500 [4 per cell]
4 Pt 0.250 0.250 0.250 [4 per cell]

Output
Energy above the lowest structure with this stoichiometry (meV/atom): 0
Energy (eV/cell): -102.72

(4)
This record from OQMD describes a relaxed Sm2CuPt crystal. The functional is PBE.

Lattice parameters (Å, degrees): 5.659 4.540 7.710 90.00 110.00 90.00
Space group P2_1/m (No. 11)
Symmetry-distinct sites (fractional):
1 Sm 0.222 0.250 0.434 [2 per cell]
2 Sm 0.225 0.250 0.928 [2 per cell]
3 Cu 0.347 0.750 0.210 [2 per cell]
4 Pt 0.345 0.750 0.713 [2 per cell]

Output
Energy (eV/cell): -44.31
Formation energy from the elements (meV per atom): -740

(5)
This record from OQMD describes a relaxed SmZn3CuPt crystal. The functional is PBE.

Lattice parameters (Å, degrees): 5.2616 5.2616 4.3007 90.00 90.00 120.00
Space group P-6m2 (No. 187)
Symmetry-distinct sites (fractional):
1 Sm 0.0000 0.0000 0.0000 [1 per cell]
2 Zn 0.0043 0.5022 0.5000 [3 per cell]
3 Cu 0.3333 0.6667 0.0000 [1 per cell]
4 Pt 0.6667 0.3333 0.0000 [1 per cell]

Output
Energy (eV/cell): -21.42
Formation energy from the elements (meV per atom): -523

(6)
This record from OQMD describes a relaxed CuSn2Pt crystal. The functional is PBE.

Lattice parameters (Å, degrees): 4.1842 4.1842 5.3011 90.00 90.00 120.00
Space group P-3m1 (No. 164)
Symmetry-distinct sites (fractional):
1 Cu 0.0000 0.0000 0.0000 [1 per cell]
2 Sn 0.3333 0.6667 0.7508 [2 per cell]
3 Pt 0.0000 0.0000 0.5000 [1 per cell]

Output
Energy above the lowest structure with this stoichiometry (meV/atom): 0
Energy (eV/cell): -19.09

| no. | magnetization (μB per cell) |
| --- | --- |
| 1 | 0.0 |
| 2 | 0.0 |
| 3 | 0.0 |
| 4 | 0.0 |
| 5 | 0.0 |
| 6 | 0.0 |